Record 1
# GGA-PBE DyH9C4N2O8, relaxed
data_DyH9C4N2O8
_chemical_formula_sum 'Dy4 H36 C16 N8 O32'
_cell_length_a 17.761
_cell_length_b 6.496
_cell_length_c 7.404
_cell_angle_alpha 90.00
_cell_angle_beta 90.00
_cell_angle_gamma 90.00
_symmetry_space_group_name_H-M 'P c a 21'
_symmetry_Int_Tables_number 29
_symmetry_space_group_name_Hall 'P 2c -2ac'
loop_
_atom_site_label
_atom_site_type_symbol
_atom_site_fract_x
_atom_site_fract_y
_atom_site_fract_z
Dy1 Dy 0.103 0.190 0.000
H1 H 0.041 0.575 0.743
H2 H 0.059 0.083 0.438
H3 H 0.110 0.710 0.500
H4 H 0.144 0.724 0.163
H5 H 0.152 0.439 0.385
H6 H 0.161 0.369 0.597
H7 H 0.161 0.700 0.684
H8 H 0.239 0.456 0.482
H9 H 0.249 0.876 0.806
C1 C 0.012 0.484 0.303
C2 C 0.049 0.084 0.585
C3 C 0.140 0.696 0.016
C4 C 0.233 0.038 0.310
N1 N 0.164 0.688 0.546
N2 N 0.181 0.477 0.504
O1 O 0.006 0.016 0.148
O2 O 0.008 0.624 0.421
O3 O 0.073 0.406 0.250
O4 O 0.095 0.187 0.683
O5 O 0.119 0.842 0.917
O6 O 0.158 0.519 0.954
O7 O 0.170 0.081 0.240
O8 O 0.225 0.168 0.885
# energy: -0.46624 Ry per atom
# magnetic moment: 0.0 μB per formula unit

---

Record 2
# GGA-PBE CsAgBrCl, relaxed
data_CsAgBrCl
_chemical_formula_sum 'Cs2 Ag2 Br2 Cl2'
_cell_length_a 5.290
_cell_length_b 5.290
_cell_length_c 10.119
_cell_angle_alpha 90.00
_cell_angle_beta 90.00
_cell_angle_gamma 90.00
_symmetry_space_group_name_H-M 'P 4/n m m'
_symmetry_Int_Tables_number 129
loop_
_symmetry_equiv_pos_as_xyz
'x,y,z'
'-x,-y,-z'
'-y+1/2,x,z'
'y+1/2,-x,-z'
'-x+1/2,-y+1/2,z'
'x+1/2,y+1/2,-z'
'y,-x+1/2,z'
'-y,x+1/2,-z'
'x+1/2,-y,-z'
'-x+1/2,y,z'
'-y,-x,-z'
'y,x,z'
'-x,y+1/2,-z'
'x,-y+1/2,z'
'y+1/2,x+1/2,-z'
'-y+1/2,-x+1/2,z'
loop_
_atom_site_label
_atom_site_type_symbol
_atom_site_fract_x
_atom_site_fract_y
_atom_site_fract_z
Cs1 Cs 0.250 0.250 0.197
Ag1 Ag 0.250 0.250 0.604
Br1 Br 0.250 0.750 0.500
Cl1 Cl 0.250 0.250 0.856
# E above lowest polymorph: 0.0 meV/atom

---

Record 3
# GGA-PBE Sm4CI3Br2, relaxed
data_Sm4CI3Br2
_chemical_formula_sum 'Sm8 C2 I6 Br4'
_cell_length_a 18.477
_cell_length_b 4.008
_cell_length_c 8.746
_cell_angle_alpha 90.00
_cell_angle_beta 102.78
_cell_angle_gamma 90.00
_symmetry_space_group_name_H-M 'C 1 2/m 1'
_symmetry_Int_Tables_number 12
_symmetry_space_group_name_Hall '-C 2y'
loop_
_atom_site_label
_atom_site_type_symbol
_atom_site_fract_x
_atom_site_fract_y
_atom_site_fract_z
Sm1 Sm 0.002 0.000 0.307
Sm2 Sm 0.138 0.500 0.566
C1 C 0.000 0.500 0.500
I1 I 0.000 0.500 0.000
I2 I 0.169 0.000 0.844
Br1 Br 0.169 0.000 0.338
# E above lowest polymorph: 7.9 meV/atom
# magnetic moment: 0.4 μB per formula unit